CaCr2Fe | PBE | relaxed

Properties
As for the crystal system: tetragonal. Its total energy is -6.380 eV per atom. The magnetic moment is 1.3 μB/f.u.

Unit cell a=5.205 b=5.205 c=5.205 alpha=139.32 beta=139.32 gamma=58.89
Sites, in units of the cell vectors:
1 Ca 0.000 0.000 0.000
2 Cr 0.250 0.750 0.500
3 Cr 0.750 0.250 0.500
4 Fe 0.500 0.500 0.000

---

Ca2CrFe | PBE | relaxed

Properties
As for the crystal system: tetragonal. Its total energy is -5.099 eV per atom. The magnetic moment is 0.5 μB/f.u.

Unit cell a=3.272 b=3.272 c=8.690 alpha=90.00 beta=90.00 gamma=90.00
Sites, in units of the cell vectors:
1 Ca 0.000 0.000 0.000
2 Ca 0.500 0.500 0.384
3 Cr 0.000 0.000 0.652
4 Fe 0.500 0.500 0.742

---

CaCrFe2 | PBE | relaxed

Properties
As for the crystal system: trigonal. Its total energy is -6.733 eV per atom. The magnetic moment is 2.1 μB/f.u.

Unit cell a=5.848 b=5.848 c=5.848 alpha=40.16 beta=40.16 gamma=40.16
Sites, in units of the cell vectors:
1 Ca 0.000 0.000 0.000
2 Cr 0.191 0.191 0.191
3 Fe 0.523 0.523 0.523
4 Fe 0.804 0.804 0.804

---

CaCrFe2 | PBE | relaxed

Properties
As for the crystal system: tetragonal. Its total energy is -6.422 eV per atom. The magnetic moment is 1.3 μB/f.u.

Unit cell a=4.644 b=4.644 c=2.885 alpha=90.00 beta=90.00 gamma=90.00
Sites, in units of the cell vectors:
1 Ca 0.000 0.000 0.000
2 Cr 0.500 0.500 0.000
3 Fe 0.000 0.500 0.500
4 Fe 0.500 0.000 0.500

---

CaCrFe2 | PBE | relaxed

Properties
As for the crystal system: tetragonal. Its total energy is -6.300 eV per atom. The magnetic moment is 0.0 μB/f.u.

Unit cell a=5.525 b=5.525 c=5.525 alpha=105.18 beta=105.18 gamma=118.44
Sites, in units of the cell vectors:
1 Ca 0.000 0.000 0.000
2 Ca 0.750 0.250 0.500
3 Cr 0.250 0.750 0.500
4 Cr 0.500 0.500 0.000
5 Fe 0.197 0.625 0.072
6 Fe 0.375 0.447 0.572
7 Fe 0.553 0.125 0.928
8 Fe 0.875 0.803 0.428

---

CaCrFe2 | PBE | relaxed

Properties
As for the crystal system: tetragonal. Its total energy is -6.282 eV per atom. The magnetic moment is 9.0 μB/f.u.

Unit cell a=5.098 b=5.098 c=5.098 alpha=133.98 beta=133.98 gamma=67.12
Sites, in units of the cell vectors:
1 Ca 0.000 0.000 0.000
2 Cr 0.500 0.500 0.000
3 Fe 0.250 0.750 0.500
4 Fe 0.750 0.250 0.500

---

CaCrFe2 | PBE | relaxed

Properties
As for the crystal system: monoclinic. Its total energy is -6.321 eV per atom. The magnetic moment is 6.0 μB/f.u.

Unit cell a=5.078 b=5.078 c=2.585 alpha=93.09 beta=93.09 gamma=115.60
Sites, in units of the cell vectors:
1 Ca 0.000 0.000 0.000
2 Cr 0.500 0.500 0.000
3 Fe 0.000 0.500 0.500
4 Fe 0.500 0.000 0.500

---

CaCr2Fe | PBE | relaxed

Properties
As for the crystal system: tetragonal. Its total energy is -6.408 eV per atom. The magnetic moment is 8.7 μB/f.u.

Unit cell a=4.091 b=4.091 c=4.087 alpha=90.00 beta=90.00 gamma=90.00
Sites, in units of the cell vectors:
1 Ca 0.000 0.000 0.000
2 Cr 0.000 0.500 0.500
3 Cr 0.500 0.000 0.500
4 Fe 0.500 0.500 0.000

---

Ca2CrFe | PBE | relaxed

Properties
As for the crystal system: cubic. Its total energy is -4.809 eV per atom. The magnetic moment is 7.1 μB/f.u.

Unit cell a=5.166 b=5.166 c=5.166 alpha=60.00 beta=60.00 gamma=60.00
Sites, in units of the cell vectors:
1 Ca 0.250 0.250 0.250
2 Ca 0.750 0.750 0.750
3 Cr 0.000 0.000 0.000
4 Fe 0.500 0.500 0.500

---

CaCrFe2 | PBE | relaxed

Properties
As for the crystal system: orthorhombic. Its total energy is -6.412 eV per atom. The magnetic moment is 1.8 μB/f.u.

Unit cell a=5.153 b=5.153 c=5.153 alpha=144.63 beta=126.30 gamma=65.96
Sites, in units of the cell vectors:
1 Ca 0.000 0.000 0.000
2 Cr 0.500 0.500 0.000
3 Fe 0.277 0.777 0.500
4 Fe 0.723 0.223 0.500

---

CaCr3Fe | PBE | relaxed

Properties
As for the crystal system: cubic. Its total energy is -5.160 eV per atom. The magnetic moment is 10.7 μB/f.u.

Unit cell a=4.590 b=4.590 c=4.590 alpha=90.00 beta=90.00 gamma=90.00
Sites, in units of the cell vectors:
1 Ca 0.000 0.000 0.000
2 Cr 0.000 0.000 0.500
3 Cr 0.000 0.500 0.000
4 Cr 0.500 0.000 0.000
5 Fe 0.500 0.500 0.500

---

CaCr2Fe | PBE | relaxed

Properties
As for the crystal system: monoclinic. Its total energy is -6.499 eV per atom. The magnetic moment is 1.1 μB/f.u.

Unit cell a=5.289 b=5.289 c=2.528 alpha=98.18 beta=98.18 gamma=122.11
Sites, in units of the cell vectors:
1 Ca 0.000 0.000 0.000
2 Cr 0.000 0.500 0.500
3 Cr 0.500 0.000 0.500
4 Fe 0.500 0.500 0.000

---

Please write out number 4 again, unchanged.
CaCrFe2 | PBE | relaxed

Properties
As for the crystal system: tetragonal. Its total energy is -6.422 eV per atom. The magnetic moment is 1.3 μB/f.u.

Unit cell a=4.644 b=4.644 c=2.885 alpha=90.00 beta=90.00 gamma=90.00
Sites, in units of the cell vectors:
1 Ca 0.000 0.000 0.000
2 Cr 0.500 0.500 0.000
3 Fe 0.000 0.500 0.500
4 Fe 0.500 0.000 0.500

---

- Which value of magnetic moment does entry 11 give?
  10.7 μB/f.u.

---

- Which of these has the highest magnetic moment?
  CaCr3Fe